A plane-wave DFT calculation with PBE was carried out for HoGa3Au3 after structural relaxation.

Cell: 7.005 7.005 7.005 Å, 90.00 90.00 90.00°
Positions (direct):
Ga 0.500 0.250 0.000
Ga 0.500 0.750 0.000
Ga 0.000 0.500 0.750
Ga 0.000 0.500 0.250
Ga 0.250 0.000 0.500
Ga 0.750 0.000 0.500
Ho 0.000 0.000 0.000
Ho 0.500 0.500 0.500
Au 0.000 0.750 0.500
Au 0.750 0.500 0.000
Au 0.500 0.000 0.250
Au 0.250 0.500 0.000
Au 0.000 0.250 0.500
Au 0.500 0.000 0.750

Output
**Density**: 9.32 g cm⁻³
**Energy above the lowest structure with this stoichiometry**: 2.596 eV per formula unit
**Space group**: Pm-3n (223)